No. 1
This record from Alexandria via LeMat-Bulk describes crystalline GdDyYLu at its relaxed geometry. The functional is PBE-GGA.

Results
Energy of formation, eV per atom: 0.118
SG: No. 216
Fermi-level density of states, states/eV/cell: 8.6

a = 5.646 Å, b = 5.646 Å, c = 5.646 Å
α = 60.00°, β = 60.00°, γ = 60.00°
Element x y z (fractional)
Y1 0.750 0.750 0.750
Gd1 0.250 0.250 0.250
Lu1 0.000 0.000 0.000
Dy1 0.500 0.500 0.500

***

No. 2
This record from Alexandria via LeMat-Bulk describes crystalline Si3TcAs at its relaxed geometry. The functional is PBE-GGA.

Results
Energy above the lowest structure with this stoichiometry, meV per atom: 0
SG: No. 221
Fermi-level density of states, states/eV/cell: 5.1

a = 4.671 Å, b = 4.671 Å, c = 4.671 Å
α = 90.00°, β = 90.00°, γ = 90.00°
Element x y z (fractional)
As1 0.500 0.500 0.500
Si1 0.000 0.500 0.000
Si2 0.000 0.000 0.500
Si3 0.500 0.000 0.000
Tc1 0.000 0.000 0.000

***

No. 3
This record from Alexandria via LeMat-Bulk describes crystalline Ni3BiBr at its relaxed geometry. The functional is PBE-GGA.

Results
Energy above the lowest structure with this stoichiometry, meV per atom: 400
SG: No. 221
Fermi-level density of states, states/eV/cell: 10.0

a = 4.895 Å, b = 4.895 Å, c = 4.895 Å
α = 90.00°, β = 90.00°, γ = 90.00°
Element x y z (fractional)
Ni1 0.000 0.500 0.000
Ni2 0.000 0.000 0.500
Ni3 0.500 0.000 0.000
Bi1 0.000 0.000 0.000
Br1 0.500 0.500 0.500

***

No. 4
This record from Alexandria via LeMat-Bulk describes crystalline CdPAu3 at its relaxed geometry. The functional is PBE-GGA.

Results
Energy above the lowest structure with this stoichiometry, meV per atom: 942
Energy of formation, eV per atom: 1.142
SG: No. 221
Fermi-level density of states, states/eV/cell: 3.8

a = 5.095 Å, b = 5.095 Å, c = 5.095 Å
α = 90.00°, β = 90.00°, γ = 90.00°
Element x y z (fractional)
P1 0.500 0.500 0.500
Au1 0.000 0.500 0.000
Au2 0.000 0.000 0.500
Au3 0.500 0.000 0.000
Cd1 0.000 0.000 0.000

***

No. 5
This record from Alexandria via LeMat-Bulk describes crystalline InCuHg2Cl at its relaxed geometry. The functional is PBE-GGA.

Results
Electronic total energy, Ha/atom: -0.0738
SG: No. 123
Fermi-level density of states, states/eV/cell: 1.6

a = 5.114 Å, b = 5.114 Å, c = 5.249 Å
α = 90.00°, β = 90.00°, γ = 90.00°
Element x y z (fractional)
Cl1 0.500 0.500 0.500
Hg1 0.000 0.500 0.000
Hg2 0.500 0.000 0.000
Cu1 0.000 0.000 0.000
In1 0.000 0.000 0.500

***

No. 6
This record from Alexandria via LeMat-Bulk describes crystalline MnFe2Ag at its relaxed geometry. The functional is PBE-GGA.

Results
Energy above the lowest structure with this stoichiometry, meV per atom: 0
Energy of formation, eV per atom: 0.279
SG: No. 99
Fermi-level density of states, states/eV/cell: 4.5

a = 2.887 Å, b = 2.887 Å, c = 6.673 Å
α = 90.00°, β = 90.00°, γ = 90.00°
Element x y z (fractional)
Ag1 0.500 0.500 0.756
Fe1 0.000 0.000 0.042
Fe2 0.500 0.500 0.238
Mn1 0.000 0.000 0.464

***

No. 7
This record from Alexandria via LeMat-Bulk describes crystalline ScBe2Mo at its relaxed geometry. The functional is PBE-GGA.

Results
Energy above the lowest structure with this stoichiometry, meV per atom: 384
Energy of formation, eV per atom: 0.347
SG: No. 166
Fermi-level density of states, states/eV/cell: 2.5

a = 6.398 Å, b = 6.398 Å, c = 6.398 Å
α = 30.26°, β = 30.26°, γ = 30.26°
Element x y z (fractional)
Sc1 0.750 0.750 0.750
Be1 0.987 0.987 0.987
Be2 0.513 0.513 0.513
Mo1 0.250 0.250 0.250

***

No. 8
This record from Alexandria via LeMat-Bulk describes crystalline TaCuHg at its relaxed geometry. The functional is PBE-GGA.

Results
Energy above the lowest structure with this stoichiometry, meV per atom: 296
Energy of formation, eV per atom: 0.530
SG: No. 216
Fermi-level density of states, states/eV/cell: 0.9

a = 4.274 Å, b = 4.274 Å, c = 4.274 Å
α = 60.00°, β = 60.00°, γ = 60.00°
Element x y z (fractional)
Cu1 0.250 0.250 0.250
Hg1 0.000 0.000 0.000
Ta1 0.500 0.500 0.500

***

No. 9
This record from Alexandria via LeMat-Bulk describes crystalline Ce3Tl4InS8 at its relaxed geometry. The functional is PBE-GGA.

Results
Electronic total energy, Ha/atom: -0.1876
SG: No. 166
Fermi-level density of states, states/eV/cell: 18.1

a = 8.328 Å, b = 8.842 Å, c = 8.328 Å
α = 118.10°, β = 120.00°, γ = 90.00°
Element x y z (fractional)
Ce1 0.500 0.500 0.000
Ce2 0.500 0.500 0.500
Ce3 0.000 0.500 0.500
Tl1 0.500 0.000 0.000
Tl2 0.500 0.000 0.500
Tl3 0.000 0.000 0.000
Tl4 0.000 0.000 0.500
In1 0.000 0.500 0.000
S1 0.233 0.699 0.965
S2 0.233 0.699 0.466
S3 0.266 0.298 0.532
S4 0.732 0.699 0.965
S5 0.268 0.301 0.035
S6 0.734 0.702 0.468
S7 0.767 0.301 0.534
S8 0.767 0.301 0.035

***

No. 10
This record from Alexandria via LeMat-Bulk describes crystalline Pr2TmTe2As2 at its relaxed geometry. The functional is PBE-GGA.

Results
Electronic total energy, Ha/atom: -0.1946
SG: No. 139
Fermi-level density of states, states/eV/cell: 5.8

a = 5.270 Å, b = 5.270 Å, c = 8.795 Å
α = 107.44°, β = 107.44°, γ = 90.00°
Element x y z (fractional)
Pr1 0.385 0.385 0.770
Pr2 0.615 0.615 0.230
Tm1 0.000 0.000 0.000
Te1 0.189 0.189 0.378
Te2 0.811 0.811 0.622
As1 0.000 0.500 0.000
As2 0.500 0.000 0.000

***

No. 11
This record from Alexandria via LeMat-Bulk describes crystalline Y2HfU2Ru5 at its relaxed geometry. The functional is PBE-GGA.

Results
Energy of formation, eV per atom: -0.295
SG: No. 127
Fermi-level density of states, states/eV/cell: 15.2

a = 3.519 Å, b = 10.503 Å, c = 10.503 Å
α = 90.00°, β = 90.00°, γ = 90.00°
Element x y z (fractional)
Y1 0.000 0.674 0.174
Y2 0.000 0.326 0.826
Y3 0.000 0.174 0.326
Y4 0.000 0.826 0.674
Hf1 0.000 0.000 0.000
Hf2 0.000 0.500 0.500
U1 0.000 0.138 0.638
U2 0.000 0.862 0.362
U3 0.000 0.638 0.862
U4 0.000 0.362 0.138
Ru1 0.500 0.203 0.051
Ru2 0.500 0.797 0.949
Ru3 0.500 0.051 0.797
Ru4 0.500 0.703 0.449
Ru5 0.500 0.949 0.203
Ru6 0.500 0.297 0.551
Ru7 0.500 0.551 0.703
Ru8 0.500 0.449 0.297
Ru9 0.500 0.500 0.000
Ru10 0.500 0.000 0.500

***

No. 12
This record from Alexandria via LeMat-Bulk describes crystalline Ba3Pd2Pb at its relaxed geometry. The functional is PBE-GGA.

Results
Energy of formation, eV per atom: -0.516
SG: No. 14
Fermi-level density of states, states/eV/cell: 10.0

a = 7.824 Å, b = 8.202 Å, c = 13.028 Å
α = 90.00°, β = 95.99°, γ = 90.00°
Element x y z (fractional)
Ba1 0.316 0.061 0.085
Ba2 0.184 0.561 0.415
Ba3 0.684 0.939 0.915
Ba4 0.816 0.439 0.585
Ba5 0.479 0.561 0.154
Ba6 0.021 0.061 0.346
Ba7 0.521 0.439 0.846
Ba8 0.979 0.939 0.654
Ba9 0.974 0.676 0.130
Ba10 0.526 0.176 0.370
Ba11 0.026 0.324 0.870
Ba12 0.474 0.824 0.630
Pd1 0.684 0.932 0.198
Pd2 0.816 0.432 0.302
Pd3 0.316 0.068 0.802
Pd4 0.184 0.568 0.698
Pd5 0.356 0.843 0.290
Pd6 0.144 0.343 0.210
Pd7 0.644 0.157 0.710
Pd8 0.856 0.657 0.790
Pb1 0.700 0.735 0.388
Pb2 0.800 0.235 0.112
Pb3 0.300 0.265 0.612
Pb4 0.200 0.765 0.888

***

No. 13
This record from Alexandria via LeMat-Bulk describes crystalline Rb3HfIn at its relaxed geometry. The functional is PBE-GGA.

Results
Energy above the lowest structure with this stoichiometry, meV per atom: 0
Energy of formation, eV per atom: 1.211
SG: No. 221
Fermi-level density of states, states/eV/cell: 10.8

a = 6.950 Å, b = 6.950 Å, c = 6.950 Å
α = 90.00°, β = 90.00°, γ = 90.00°
Element x y z (fractional)
Hf1 0.500 0.500 0.500
Rb1 0.000 0.500 0.000
Rb2 0.000 0.000 0.500
Rb3 0.500 0.000 0.000
In1 0.000 0.000 0.000

***

No. 14
This record from Alexandria via LeMat-Bulk describes crystalline ZrMoP2 at its relaxed geometry. The functional is PBE-GGA.

Results
Energy above the lowest structure with this stoichiometry, meV per atom: 296
Energy of formation, eV per atom: -0.633
SG: No. 123
Fermi-level density of states, states/eV/cell: 3.0

a = 3.094 Å, b = 3.094 Å, c = 6.425 Å
α = 90.00°, β = 90.00°, γ = 90.00°
Element x y z (fractional)
Mo1 0.500 0.500 0.750
P1 0.000 0.000 0.971
P2 0.000 0.000 0.529
Zr1 0.500 0.500 0.250

***

No. 15
This record from Alexandria via LeMat-Bulk describes crystalline NaPmHgP at its relaxed geometry. The functional is PBE-GGA.

Results
Energy of formation, eV per atom: -0.465
SG: No. 216
Fermi-level density of states, states/eV/cell: 2.3

a = 5.096 Å, b = 5.096 Å, c = 5.096 Å
α = 60.00°, β = 60.00°, γ = 60.00°
Element x y z (fractional)
P1 0.000 0.000 0.000
Na1 0.250 0.250 0.250
Hg1 0.500 0.500 0.500
Pm1 0.750 0.750 0.750

***

No. 16
This record from Alexandria via LeMat-Bulk describes crystalline Mg4TiRh5 at its relaxed geometry. The functional is PBE-GGA.

Results
Energy of formation, eV per atom: -0.611
SG: No. 123
Fermi-level density of states, states/eV/cell: 5.8

a = 3.113 Å, b = 3.113 Å, c = 15.577 Å
α = 90.00°, β = 90.00°, γ = 90.00°
Element x y z (fractional)
Mg1 0.000 0.000 0.203
Mg2 0.000 0.000 0.400
Mg3 0.000 0.000 0.600
Mg4 0.000 0.000 0.797
Ti1 0.000 0.000 0.000
Rh1 0.500 0.500 0.094
Rh2 0.500 0.500 0.299
Rh3 0.500 0.500 0.500
Rh4 0.500 0.500 0.701
Rh5 0.500 0.500 0.906

***

No. 17
This record from Alexandria via LeMat-Bulk describes crystalline ThCd2OsO8 at its relaxed geometry. The functional is PBE-GGA.

Results
Electronic total energy, Ha/atom: -0.2423
SG: No. 10
Fermi-level density of states, states/eV/cell: 1.8

a = 5.085 Å, b = 5.072 Å, c = 6.829 Å
α = 90.00°, β = 90.00°, γ = 92.11°
Element x y z (fractional)
Th1 0.000 0.000 0.500
Cd1 0.500 0.500 0.756
Cd2 0.500 0.500 0.244
Os1 0.000 0.000 0.000
O1 0.175 0.823 0.203
O2 0.734 0.735 0.000
O3 0.825 0.177 0.203
O4 0.825 0.177 0.797
O5 0.266 0.265 0.000
O6 0.175 0.823 0.797
O7 0.697 0.698 0.500
O8 0.303 0.302 0.500

***

No. 18
This record from Alexandria via LeMat-Bulk describes crystalline Tl3CdOs2O8 at its relaxed geometry. The functional is PBE-GGA.

Results
Electronic total energy, Ha/atom: -0.2113
SG: No. 164
Fermi-level density of states, states/eV/cell: 3.6

a = 6.152 Å, b = 6.152 Å, c = 8.074 Å
α = 90.00°, β = 90.00°, γ = 120.00°
Element x y z (fractional)
Tl1 0.333 0.667 0.651
Tl2 0.667 0.333 0.349
Tl3 0.000 0.000 0.000
Cd1 0.000 0.000 0.500
Os1 0.333 0.667 0.198
Os2 0.667 0.333 0.802
O1 0.333 0.667 0.977
O2 0.667 0.333 0.023
O3 0.175 0.825 0.287
O4 0.825 0.175 0.713
O5 0.175 0.350 0.287
O6 0.825 0.650 0.713
O7 0.650 0.825 0.287
O8 0.350 0.175 0.713

***

No. 19
This record from Alexandria via LeMat-Bulk describes crystalline PmPuFeN3 at its relaxed geometry. The functional is PBE-GGA.

Results
Electronic total energy, Ha/atom: -0.3546
SG: No. 11
Fermi-level density of states, states/eV/cell: 15.1

a = 3.348 Å, b = 7.206 Å, c = 7.240 Å
α = 99.25°, β = 90.00°, γ = 90.00°
Element x y z (fractional)
Pm1 0.750 0.831 0.802
Pm2 0.250 0.169 0.198
Pu1 0.250 0.650 0.176
Pu2 0.750 0.350 0.824
Fe1 0.250 0.089 0.582
Fe2 0.750 0.911 0.418
N1 0.250 0.826 0.518
N2 0.750 0.873 0.150
N3 0.750 0.421 0.136
N4 0.750 0.174 0.482
N5 0.250 0.579 0.864
N6 0.250 0.127 0.850

***

No. 20
This record from Alexandria via LeMat-Bulk describes crystalline Li2PaSiN4 at its relaxed geometry. The functional is PBE-GGA.

Results
Electronic total energy, Ha/atom: -0.2611
SG: No. 63
Fermi-level density of states, states/eV/cell: 2.4

a = 3.197 Å, b = 6.212 Å, c = 9.131 Å
α = 90.00°, β = 90.00°, γ = 104.91°
Element x y z (fractional)
Li1 0.404 0.807 0.539
Li2 0.596 0.193 0.039
Li3 0.596 0.193 0.461
Li4 0.404 0.807 0.961
Pa1 0.066 0.132 0.750
Pa2 0.934 0.868 0.250
Si1 0.794 0.589 0.750
Si2 0.206 0.411 0.250
N1 0.319 0.637 0.131
N2 0.681 0.363 0.631
N3 0.681 0.363 0.869
N4 0.319 0.637 0.369
N5 0.000 0.000 0.500
N6 0.000 0.000 0.000
N7 0.372 0.744 0.750
N8 0.628 0.256 0.250

***

No. 21
This record from Alexandria via LeMat-Bulk describes crystalline EuMnPd2 at its relaxed geometry. The functional is PBE-GGA.

Results
Energy above the lowest structure with this stoichiometry, meV per atom: 38
Energy of formation, eV per atom: -0.315
SG: No. 123
Fermi-level density of states, states/eV/cell: 7.3

a = 3.762 Å, b = 4.474 Å, c = 4.474 Å
α = 90.00°, β = 90.00°, γ = 90.00°
Element x y z (fractional)
Eu1 0.500 0.000 0.000
Mn1 0.500 0.500 0.500
Pd1 0.000 0.000 0.500
Pd2 0.000 0.500 0.000

***

No. 22
This record from Alexandria via LeMat-Bulk describes crystalline Li12Ca2Mg3Al at its relaxed geometry. The functional is PBE-GGA.

Results
Energy of formation, eV per atom: 0.039
SG: No. 166
Fermi-level density of states, states/eV/cell: 11.2

a = 7.408 Å, b = 7.408 Å, c = 7.408 Å
α = 86.68°, β = 86.68°, γ = 86.68°
Element x y z (fractional)
Li1 0.438 0.438 0.841
Li2 0.804 0.804 0.252
Li3 0.252 0.804 0.804
Li4 0.841 0.438 0.438
Li5 0.804 0.252 0.804
Li6 0.438 0.841 0.438
Li7 0.562 0.562 0.159
Li8 0.196 0.196 0.748
Li9 0.748 0.196 0.196
Li10 0.159 0.562 0.562
Li11 0.196 0.748 0.196
Li12 0.562 0.159 0.562
Ca1 0.744 0.744 0.744
Ca2 0.256 0.256 0.256
Mg1 0.500 0.000 0.000
Mg2 0.000 0.500 0.000
Mg3 0.000 0.000 0.500
Al1 0.000 0.000 0.000

***

No. 23
This record from Alexandria via LeMat-Bulk describes crystalline Dy2HoAg at its relaxed geometry. The functional is PBE-GGA.

Results
Energy above the lowest structure with this stoichiometry, meV per atom: 127
Energy of formation, eV per atom: -0.002
SG: No. 123
Fermi-level density of states, states/eV/cell: 4.8

a = 3.707 Å, b = 5.425 Å, c = 5.425 Å
α = 90.00°, β = 90.00°, γ = 90.00°
Element x y z (fractional)
Ho1 0.500 0.500 0.500
Ag1 0.500 0.000 0.000
Dy1 0.000 0.000 0.500
Dy2 0.000 0.500 0.000

***

no.,magnetization (μB/cell)
1,8.47
2,1.41
3,0.00
4,0.00
5,0.00
6,8.45
7,0.00
8,0.00
9,2.28
10,0.00
11,0.00
12,0.00
13,2.34
14,0.00
15,0.00
16,0.00
17,0.00
18,3.48
19,7.30
20,1.54
21,2.59
22,0.00
23,0.00